The following is a DFT calculation (PBE with a Hubbard U) of a geometry-optimized VSiO3 structure.

a b c (Å): 3.821 3.821 3.821
angles (deg): 90.00 90.00 90.00
Each line ends with the local moment (μB).
Sites, in units of the cell vectors:
O 0.000 0.500 0.000  -0.07
O 0.500 0.000 0.000  -0.07
O 0.000 0.000 0.500  -0.07
Si 0.500 0.500 0.500  0.01
V 0.000 0.000 0.000  1.11

Results
**E**: -0.2443 Ha/atom